[1]
First-principles (PBE-GGA) data for an optimized crystal structure of AcPuTl, as listed in the Open Quantum Materials Database.

Cell: 7.790 7.790 7.790 Å, 90.00 90.00 90.00°
Sites, in units of the cell vectors:
Ac (0.000, 0.000, 0.000)
Ac (0.000, 0.500, 0.500)
Ac (0.500, 0.000, 0.500)
Ac (0.500, 0.500, 0.000)
Pu (0.000, 0.000, 0.500)
Pu (0.000, 0.500, 0.000)
Pu (0.500, 0.000, 0.000)
Pu (0.500, 0.500, 0.500)
Tl (0.250, 0.250, 0.250)
Tl (0.250, 0.750, 0.750)
Tl (0.750, 0.250, 0.750)
Tl (0.750, 0.750, 0.250)

Computed properties:
- relative energy among the computed polymorphs (meV per atom) = 0
- calculated volume (Å³ per cell) = 473
- crystal system = cubic

[2]
First-principles (PBE-GGA) data for an optimized crystal structure of AcPuTl, as listed in the Open Quantum Materials Database.

Cell: 7.677 7.677 7.677 Å, 90.00 90.00 90.00°
Sites, in units of the cell vectors:
Ac (0.000, 0.000, 0.000)
Ac (0.000, 0.500, 0.500)
Ac (0.500, 0.000, 0.500)
Ac (0.500, 0.500, 0.000)
Pu (0.250, 0.250, 0.750)
Pu (0.250, 0.750, 0.250)
Pu (0.750, 0.250, 0.250)
Pu (0.750, 0.750, 0.750)
Tl (0.250, 0.250, 0.250)
Tl (0.250, 0.750, 0.750)
Tl (0.750, 0.250, 0.750)
Tl (0.750, 0.750, 0.250)

Computed properties:
- relative energy among the computed polymorphs (meV per atom) = 298
- calculated volume (Å³ per cell) = 452
- crystal system = cubic

[3]
First-principles (PBE-GGA) data for an optimized crystal structure of AcYPu, as listed in the Open Quantum Materials Database.

Cell: 7.713 7.713 7.713 Å, 90.00 90.00 90.00°
Sites, in units of the cell vectors:
Ac (0.000, 0.000, 0.000)
Ac (0.000, 0.500, 0.500)
Ac (0.500, 0.000, 0.500)
Ac (0.500, 0.500, 0.000)
Y (0.250, 0.250, 0.250)
Y (0.250, 0.750, 0.750)
Y (0.750, 0.250, 0.750)
Y (0.750, 0.750, 0.250)
Pu (0.250, 0.250, 0.750)
Pu (0.250, 0.750, 0.250)
Pu (0.750, 0.250, 0.250)
Pu (0.750, 0.750, 0.750)

Computed properties:
- ΔE_f (meV per atom) = 909
- relative energy among the computed polymorphs (meV per atom) = 50
- calculated volume (Å³ per cell) = 459
- crystal system = cubic

[4]
First-principles (PBE-GGA) data for an optimized crystal structure of AcYPu, as listed in the Open Quantum Materials Database.

Cell: 7.636 7.636 7.636 Å, 90.00 90.00 90.00°
Sites, in units of the cell vectors:
Ac (0.000, 0.000, 0.000)
Ac (0.000, 0.500, 0.500)
Ac (0.500, 0.000, 0.500)
Ac (0.500, 0.500, 0.000)
Y (0.250, 0.250, 0.250)
Y (0.250, 0.750, 0.750)
Y (0.750, 0.250, 0.750)
Y (0.750, 0.750, 0.250)
Pu (0.000, 0.000, 0.500)
Pu (0.000, 0.500, 0.000)
Pu (0.500, 0.000, 0.000)
Pu (0.500, 0.500, 0.500)

Computed properties:
- ΔE_f (meV per atom) = 860
- relative energy among the computed polymorphs (meV per atom) = 0
- calculated volume (Å³ per cell) = 445
- crystal system = cubic

Asked for spin magnetization across the records above, the calculation gives 6.481, 6.152, 7.351, 6.199 μB per formula unit in order.
Asked for DFT total energy across the records above, the calculation gives -6.704, -6.406, -7.323, -7.373 eV/atom in order.